[1]
KZn2HgAu after structural relaxation. Source: Alexandria via LeMat-Bulk, functional PBE.

Values from the calculation:
crystal system = tetragonal

abc: 5.0076 5.0076 5.8022
angles: 90.00 90.00 90.00
Space group P4/mmm (No. 123)
Inequivalent atoms, fractional coordinates:
K1 0.0000 0.0000 0.0000 x1
Zn1 0.0000 0.5000 0.5000 x2
Hg1 0.5000 0.5000 0.0000 x1
Au1 0.5000 0.5000 0.5000 x1

[2]
In3Pb after structural relaxation. Source: Alexandria via LeMat-Bulk, functional PBE.

Values from the calculation:
crystal system = orthorhombic

abc: 3.6689 5.5854 11.0833
angles: 90.00 90.00 90.00
Space group Immm (No. 71)
Inequivalent atoms, fractional coordinates:
In1 0.0000 0.0000 0.0000 x2
In2 0.0000 0.5000 0.2583 x4
Pb1 0.0000 0.0000 0.5000 x2

Values for electronic total energy, eV/atom, ordered as above
-1.523; -2.950
Values for calculated volume, A^3/atom, ordered as above
29.10; 28.39
Values for formation enthalpy at 0 K, eV per atom, ordered as above
-0.078; 0.031